First-principles (PBE) data for a relaxed Pr2Tm3Th crystal, as listed in the Alexandria database.

Unit cell a=5.5778 b=8.9466 c=12.0129 alpha=43.56 beta=76.58 gamma=71.84
With the nearest neighbours (Å) after each atom.
Positions (direct):
Tm (0.0925, 0.4106, 0.4044)  3 Pr 3.35-3.44, 4 Tm 3.38-3.69, 2 Th 3.68
Pr (0.2241, 0.4570, 0.0947)  2 Pr 3.31, 4 Tm 3.35-3.54
Tm (0.9396, 0.9673, 0.1535)  3 Tm 3.22-3.56, 3 Pr 3.31-3.51, 2 Th 3.59
Pr (0.6016, 0.1509, 0.6458)  5 Tm 3.31-3.46, 1 Th 3.62
Th (0.5805, 0.7230, 0.1160)  1 Th 3.39, 7 Tm 3.54-3.68, 4 Pr 3.62-3.71
Tm (0.0604, 0.0327, 0.8465)  3 Tm 3.22-3.56, 3 Pr 3.31-3.51, 2 Th 3.59
Tm (0.2492, 0.8531, 0.6485)  4 Tm 3.39-3.72, 6 Pr 3.46-3.75, 1 Th 3.54
Pr (0.3984, 0.8491, 0.3542)  5 Tm 3.31-3.46, 1 Th 3.62
Th (0.4195, 0.2770, 0.8840)  1 Th 3.39, 7 Tm 3.54-3.68, 4 Pr 3.62-3.71
Tm (0.7508, 0.1469, 0.3515)  4 Tm 3.39-3.72, 6 Pr 3.46-3.75, 1 Th 3.54
Tm (0.9075, 0.5894, 0.5956)  3 Pr 3.35-3.44, 4 Tm 3.38-3.69, 2 Th 3.68
Pr (0.7759, 0.5430, 0.9053)  2 Pr 3.31, 4 Tm 3.35-3.54

Output
- ΔE_f (eV per atom) = 0.09


First-principles (PBE) data for a relaxed AlTc4Ni crystal, as listed in the Alexandria database.

Unit cell a=5.0700 b=5.0700 c=5.0700 alpha=60.00 beta=60.00 gamma=60.00
With the nearest neighbours (Å) after each atom.
Positions (direct):
Ni (0.0000, 0.0000, 0.0000)  12 Tc 2.97, 4 Al 3.10
Tc (0.3744, 0.3744, 0.3744)  6 Tc 2.52-2.55
Al (0.7500, 0.7500, 0.7500)  12 Tc 2.97, 4 Ni 3.10
Tc (0.3744, 0.8768, 0.3744)  6 Tc 2.52-2.55
Tc (0.3744, 0.3744, 0.8768)  6 Tc 2.52-2.55
Tc (0.8768, 0.3744, 0.3744)  6 Tc 2.52-2.55

Output
- ΔE_f (eV per atom) = 0.36